# 1
Material: MnZn3Au12
Method: DFT, GGA-PBE
State: optimized geometry

Values from the calculation:
DFT total energy	-53.8	eV per cell
formation energy from the elements	-0.09	eV per atom

a b c (Å): 4.1141 4.1141 16.3286
angles (deg): 90.00 90.00 90.00
Closest atoms and distances in Å follow each position.
Space group P4/mmm (No. 123)
Symmetry-distinct sites (fractional):
Mn 0.0000 0.0000 0.0000  12 Au 2.90-2.91
Zn 0.0000 0.0000 0.2500  12 Au 2.90-2.91
Zn 0.0000 0.0000 0.5000  12 Au 2.90-2.91
Au 0.0000 0.5000 0.1248  2 Mn 2.90, 8 Au 2.90-2.91, 2 Zn 2.90
Au 0.0000 0.5000 0.3750  8 Au 2.90-2.91, 4 Zn 2.90
Au 0.5000 0.5000 0.0000  8 Au 2.90, 4 Mn 2.91
Au 0.5000 0.5000 0.2501  8 Au 2.90, 4 Zn 2.91
Au 0.5000 0.5000 0.5000  8 Au 2.90, 4 Zn 2.91



# 2
Material: Hf5AlIn2
Method: DFT, GGA-PBE
State: optimized geometry

Values from the calculation:
DFT total energy	-238.1	eV per cell
formation energy from the elements	-0.07	eV per atom
relative energy among the computed polymorphs	3.30	kcal/mol of atoms

a b c (Å): 7.4945 7.4945 12.3893
angles (deg): 90.00 90.00 90.00
Closest atoms and distances in Å follow each position.
Space group I4/mcm (No. 140)
Symmetry-distinct sites (fractional):
Hf 0.0000 0.0000 0.0000  4 In 2.89, 2 Al 3.10
Hf 0.1543 0.3457 0.1622  3 In 2.95-3.00, 4 Hf 2.97-3.27, 2 Al 3.04
Al 0.0000 0.0000 0.2500  10 Hf 3.04-3.10
In 0.1420 0.3580 0.5000  8 Hf 2.89-3.00, 1 In 3.01